# 1
{
  "formula": "CdAu2Br",
  "functional": "PBE",
  "state": "relaxed",
  "lattice": [[2.838, -4.291, 0.000], [2.838, 4.291, 0.000], [0.000, 0.000, 3.573]],
  "species": ["Cd", "Au", "Au", "Br"],
  "frac_coords": [[0.000, 0.000, 0.000], [0.000, 0.500, 0.500], [0.500, 0.000, 0.500], [0.500, 0.500, 0.000]],
  "e_form_raw_kcal_per_mol_atoms": 4.0,
  "sg": "Cmmm, No. 65",
  "total_energy_ev_per_cell": -8.44,
  "n_ef_per_ev_cell": 2.77
}

# 2
{
  "formula": "Cd3Au5Br12",
  "functional": "PBE",
  "state": "relaxed",
  "lattice": [[-8.765, 8.765, 8.765], [8.765, -8.765, 8.765], [8.765, 8.765, -8.765]],
  "species": ["Cd", "Cd", "Cd", "Cd", "Cd", "Cd", "Cd", "Cd", "Cd", "Cd", "Cd", "Cd", "Au", "Au", "Au", "Au", "Au", "Au", "Au", "Au", "Au", "Au", "Au", "Au", "Au", "Au", "Au", "Au", "Au", "Au", "Au", "Au", "Br", "Br", "Br", "Br", "Br", "Br", "Br", "Br", "Br", "Br", "Br", "Br", "Br", "Br", "Br", "Br", "Br", "Br", "Br", "Br", "Br", "Br", "Br", "Br", "Br", "Br", "Br", "Br", "Br", "Br", "Br", "Br", "Br", "Br", "Br", "Br", "Br", "Br", "Br", "Br", "Br", "Br", "Br", "Br", "Br", "Br", "Br", "Br"],
  "frac_coords": [[0.125, 0.250, 0.375], [0.125, 0.375, 0.750], [0.250, 0.375, 0.125], [0.250, 0.875, 0.625], [0.375, 0.125, 0.250], [0.375, 0.750, 0.125], [0.625, 0.250, 0.875], [0.625, 0.875, 0.750], [0.750, 0.125, 0.375], [0.750, 0.625, 0.875], [0.875, 0.625, 0.250], [0.875, 0.750, 0.625], [0.000, 0.000, 0.000], [0.000, 0.000, 0.500], [0.000, 0.500, 0.000], [0.000, 0.500, 0.500], [0.125, 0.750, 0.875], [0.125, 0.875, 0.250], [0.250, 0.125, 0.875], [0.250, 0.625, 0.375], [0.375, 0.250, 0.625], [0.375, 0.625, 0.750], [0.500, 0.000, 0.000], [0.500, 0.000, 0.500], [0.500, 0.500, 0.000], [0.500, 0.500, 0.500], [0.625, 0.375, 0.250], [0.625, 0.750, 0.375], [0.750, 0.375, 0.625], [0.750, 0.875, 0.125], [0.875, 0.125, 0.750], [0.875, 0.250, 0.125], [0.008, 0.164, 0.155], [0.008, 0.344, 0.853], [0.008, 0.664, 0.656], [0.008, 0.845, 0.353], [0.147, 0.655, 0.492], [0.147, 0.992, 0.656], [0.155, 0.008, 0.164], [0.155, 0.647, 0.992], [0.156, 0.164, 0.508], [0.156, 0.492, 0.647], [0.164, 0.155, 0.008], [0.164, 0.508, 0.156], [0.336, 0.344, 0.992], [0.336, 0.492, 0.345], [0.344, 0.853, 0.008], [0.344, 0.992, 0.336], [0.345, 0.336, 0.492], [0.345, 0.508, 0.853], [0.353, 0.008, 0.845], [0.353, 0.844, 0.508], [0.492, 0.147, 0.655], [0.492, 0.345, 0.336], [0.492, 0.647, 0.156], [0.492, 0.844, 0.836], [0.508, 0.156, 0.164], [0.508, 0.353, 0.844], [0.508, 0.655, 0.664], [0.508, 0.853, 0.345], [0.647, 0.156, 0.492], [0.647, 0.992, 0.155], [0.655, 0.492, 0.147], [0.655, 0.664, 0.508], [0.656, 0.008, 0.664], [0.656, 0.147, 0.992], [0.664, 0.508, 0.655], [0.664, 0.656, 0.008], [0.836, 0.492, 0.844], [0.836, 0.845, 0.992], [0.844, 0.508, 0.353], [0.844, 0.836, 0.492], [0.845, 0.353, 0.008], [0.845, 0.992, 0.836], [0.853, 0.008, 0.344], [0.853, 0.345, 0.508], [0.992, 0.155, 0.647], [0.992, 0.336, 0.344], [0.992, 0.656, 0.147], [0.992, 0.836, 0.845]],
  "e_form_raw_kcal_per_mol_atoms": -5.1,
  "sg": "Ia-3d, No. 230",
  "total_energy_ev_per_cell": -174.68,
  "n_ef_per_ev_cell": 21.87
}

# 3
{
  "formula": "CdAu2Br",
  "functional": "PBE",
  "state": "relaxed",
  "lattice": [[4.496, -1.904, 0.000], [4.496, 1.904, 0.000], [-1.183, 0.000, 6.625]],
  "species": ["Cd", "Au", "Au", "Br"],
  "frac_coords": [[0.000, 0.000, 0.000], [0.276, 0.276, 0.821], [0.554, 0.554, 0.704], [0.574, 0.574, 0.309]],
  "e_form_raw_kcal_per_mol_atoms": -2.9,
  "sg": "Cm, No. 8",
  "total_energy_ev_per_cell": -9.64,
  "n_ef_per_ev_cell": 0.70
}

# 4
{
  "formula": "Cd2Au2Br",
  "functional": "PBE",
  "state": "relaxed",
  "lattice": [[-2.217, 2.217, 6.197], [2.217, -2.217, 6.197], [2.217, 2.217, -6.197]],
  "species": ["Cd", "Cd", "Au", "Au", "Br"],
  "frac_coords": [[0.250, 0.750, 0.500], [0.750, 0.250, 0.500], [0.111, 0.111, 0.000], [0.889, 0.889, 0.000], [0.500, 0.500, 0.000]],
  "e_form_raw_kcal_per_mol_atoms": -0.9,
  "sg": "I4/mmm, No. 139",
  "total_energy_ev_per_cell": -10.25,
  "n_ef_per_ev_cell": 2.15
}

# 5
{
  "formula": "CdAu2Br",
  "functional": "PBE",
  "state": "relaxed",
  "lattice": [[-4.013, 4.013, 2.858], [4.013, -4.013, 2.858], [4.013, 4.013, -2.858]],
  "species": ["Cd", "Cd", "Au", "Au", "Au", "Au", "Br", "Br"],
  "frac_coords": [[0.000, 0.000, 0.000], [0.750, 0.250, 0.500], [0.114, 0.625, 0.989], [0.375, 0.364, 0.489], [0.636, 0.125, 0.011], [0.875, 0.886, 0.511], [0.250, 0.750, 0.500], [0.500, 0.500, 0.000]],
  "e_form_raw_kcal_per_mol_atoms": 2.6,
  "sg": "I-42d, No. 122",
  "total_energy_ev_per_cell": -17.40,
  "n_ef_per_ev_cell": 3.12
}

# 6
{
  "formula": "Cd2Au2Br",
  "functional": "PBE",
  "state": "relaxed",
  "lattice": [[8.565, 0.000, 0.000], [0.000, 8.565, 0.000], [0.000, 0.000, 3.052]],
  "species": ["Cd", "Cd", "Cd", "Cd", "Au", "Au", "Au", "Au", "Br", "Br"],
  "frac_coords": [[0.184, 0.316, 0.000], [0.316, 0.816, 0.000], [0.684, 0.184, 0.000], [0.816, 0.684, 0.000], [0.116, 0.616, 0.500], [0.384, 0.116, 0.500], [0.616, 0.884, 0.500], [0.884, 0.384, 0.500], [0.000, 0.000, 0.000], [0.500, 0.500, 0.000]],
  "e_form_raw_kcal_per_mol_atoms": -2.5,
  "sg": "P4/mbm, No. 127",
  "total_energy_ev_per_cell": -21.18,
  "n_ef_per_ev_cell": 3.96
}

# 7
{
  "formula": "Cd3AuBr",
  "functional": "PBE",
  "state": "relaxed",
  "lattice": [[5.698, 0.000, 0.000], [0.000, 5.698, 0.000], [0.000, 0.000, 5.698]],
  "species": ["Cd", "Cd", "Cd", "Au", "Br"],
  "frac_coords": [[0.000, 0.000, 0.500], [0.000, 0.500, 0.000], [0.500, 0.000, 0.000], [0.500, 0.500, 0.500], [0.000, 0.000, 0.000]],
  "e_form_raw_kcal_per_mol_atoms": 13.8,
  "sg": "Pm-3m, No. 221",
  "total_energy_ev_per_cell": -4.70,
  "n_ef_per_ev_cell": 3.78
}

# 8
{
  "formula": "CdAu2Br",
  "functional": "PBE",
  "state": "relaxed",
  "lattice": [[1.806, 1.043, 7.951], [-1.806, 1.043, 7.951], [0.000, -2.085, 7.951]],
  "species": ["Cd", "Au", "Au", "Br"],
  "frac_coords": [[0.000, 0.000, 0.000], [0.253, 0.253, 0.253], [0.747, 0.747, 0.747], [0.500, 0.500, 0.500]],
  "e_form_raw_kcal_per_mol_atoms": 1.8,
  "sg": "R-3m, No. 166",
  "total_energy_ev_per_cell": -8.83,
  "n_ef_per_ev_cell": 2.01
}

# 9
{
  "formula": "CdAu2Br",
  "functional": "PBE",
  "state": "relaxed",
  "lattice": [[-1.972, 1.972, 5.958], [1.972, -1.972, 5.958], [1.972, 1.972, -5.958]],
  "species": ["Cd", "Au", "Au", "Br"],
  "frac_coords": [[0.000, 0.000, 0.000], [0.250, 0.750, 0.500], [0.750, 0.250, 0.500], [0.500, 0.500, 0.000]],
  "e_form_raw_kcal_per_mol_atoms": 1.4,
  "sg": "I4/mmm, No. 139",
  "total_energy_ev_per_cell": -8.89,
  "n_ef_per_ev_cell": 1.30
}

# 10
{
  "formula": "CdAuBr",
  "functional": "PBE",
  "state": "relaxed",
  "lattice": [[0.000, 3.627, 3.884], [3.623, 0.000, 3.884], [3.623, 3.627, 0.000]],
  "species": ["Cd", "Au", "Br"],
  "frac_coords": [[0.000, 0.000, 0.000], [0.331, 0.331, 0.669], [0.660, 0.660, 0.340]],
  "e_form_raw_kcal_per_mol_atoms": 1.0,
  "sg": "Fmm2, No. 42",
  "total_energy_ev_per_cell": -5.74
}

# 11
{
  "formula": "CdAuBr",
  "functional": "PBE",
  "state": "relaxed",
  "lattice": [[-1.713, 1.713, 6.028], [1.713, -1.713, 6.028], [1.713, 1.713, -6.028]],
  "species": ["Cd", "Au", "Br"],
  "frac_coords": [[0.000, 0.000, 0.000], [0.370, 0.370, 0.000], [0.658, 0.658, 0.000]],
  "e_form_raw_kcal_per_mol_atoms": -1.6,
  "sg": "I4mm, No. 107",
  "total_energy_ev_per_cell": -6.08,
  "n_ef_per_ev_cell": 0.89
}

# 12
{
  "formula": "CdAu3Br",
  "functional": "PBE",
  "state": "relaxed",
  "lattice": [[5.233, 0.000, 0.000], [0.000, 5.233, 0.000], [0.000, 0.000, 5.233]],
  "species": ["Cd", "Au", "Au", "Au", "Br"],
  "frac_coords": [[0.000, 0.000, 0.000], [0.000, 0.000, 0.500], [0.000, 0.500, 0.000], [0.500, 0.000, 0.000], [0.500, 0.500, 0.500]],
  "e_form_raw_kcal_per_mol_atoms": 15.6,
  "sg": "Pm-3m, No. 221",
  "total_energy_ev_per_cell": -9.05,
  "n_ef_per_ev_cell": 4.51
}